# 1
This record from Alexandria via LeMat-Bulk describes an optimized crystal structure of Rb2Ce2PbSe6. The functional is PBE-GGA.

Cell lengths 7.515, 7.515, 8.420 Å; angles 97.91, 97.91, 120.47 degrees
Sites, in units of the cell vectors:
1 Rb 0.160 0.840 0.000
2 Rb 0.840 0.160 0.000
3 Ce 0.334 0.666 0.500
4 Ce 0.666 0.334 0.500
5 Pb 0.000 0.000 0.500
6 Se 0.058 0.416 0.693
7 Se 0.296 0.296 0.305
8 Se 0.416 0.058 0.693
9 Se 0.584 0.942 0.307
10 Se 0.704 0.704 0.695
11 Se 0.942 0.584 0.307

## Properties
- E: -4.883 eV per atom
- E_form (uncorrected): -1391 meV per atom
- Spin magnetization: 0.000 μB per atom


# 2
This record from Alexandria via LeMat-Bulk describes an optimized crystal structure of MgNiPt2. The functional is PBE-GGA.

Cell lengths 4.666, 4.666, 4.776 Å; angles 100.64, 100.64, 35.27 degrees
Sites, in units of the cell vectors:
1 Mg 0.000 0.000 0.000
2 Ni 0.500 0.500 0.500
3 Pt 0.247 0.247 0.743
4 Pt 0.753 0.753 0.257

## Properties
- Energy of formation from the pure elements: -0.39 eV per atom
- E: -5.258 eV per atom
- Spin magnetization: 0.090 μB per atom
- DOS at the Fermi energy: 3.8 states/eV per cell


# 3
This record from Alexandria via LeMat-Bulk describes an optimized crystal structure of Dy2Y5Tm4. The functional is PBE-GGA.

Cell lengths 12.474, 12.474, 12.474 Å; angles 163.94, 137.81, 45.42 degrees
Sites, in units of the cell vectors:
1 Dy 0.231 0.231 0.000
2 Dy 0.769 0.769 0.000
3 Y 0.158 0.356 0.802
4 Y 0.446 0.644 0.802
5 Y 0.500 0.000 0.500
6 Y 0.554 0.356 0.198
7 Y 0.842 0.644 0.198
8 Tm 0.096 0.096 0.000
9 Tm 0.187 0.500 0.687
10 Tm 0.813 0.500 0.313
11 Tm 0.904 0.904 0.000

## Properties
- Energy of formation from the pure elements: 0.21 eV per atom
- E: -5.190 eV per atom
- Polymorph energy (0 for the lowest one): 111.1 meV per atom
- Spin magnetization: 0.000 μB per atom
- DOS at the Fermi energy: 16.6 states/eV per cell


# 4
This record from Alexandria via LeMat-Bulk describes an optimized crystal structure of ZrHS2I. The functional is PBE-GGA.

Cell lengths 7.546, 4.115, 8.431 Å; angles 90.00, 97.34, 90.00 degrees
Sites, in units of the cell vectors:
1 Zr 0.225 0.250 0.096
2 Zr 0.775 0.750 0.904
3 H 0.470 0.250 0.418
4 H 0.530 0.750 0.582
5 S 0.040 0.750 0.145
6 S 0.289 0.250 0.395
7 S 0.711 0.750 0.605
8 S 0.960 0.250 0.855
9 I 0.355 0.750 0.851
10 I 0.645 0.250 0.149

## Properties
- E: -5.127 eV per atom
- Spin magnetization: 0.000 μB per atom